Entry 1:
First-principles (GGA-PBE) data for a geometry-optimized LiHg3Pb structure, as listed in Alexandria.

Summary:
Calculated formation energy (eV/atom): 0.06
Offset from the most stable computed form (meV/atom): 175
Uncorrected energy (eV/atom): -1.24
Theoretical density (g/cm³): 10.57
Space-group type: Pm-3m

Geometry as POSCAR:
```
LiHg3Pb
1.0
5.041 0.000 0.000
0.000 5.041 0.000
0.000 0.000 5.041
Li Hg Pb
1 3 1
Cartesian
0.000 0.000 0.000
0.000 0.000 2.521
0.000 2.521 0.000
2.521 0.000 0.000
2.521 2.521 2.521
```

Entry 2:
First-principles (GGA-PBE) data for a geometry-optimized Li2HgPb structure, as listed in Alexandria.

Summary:
Calculated formation energy (eV/atom): -0.32
Uncorrected energy (eV/atom): -2.27
Theoretical density (g/cm³): 8.55
Space-group type: P2/m

Geometry as POSCAR:
```
Li2HgPb
1.0
3.320 0.000 0.000
0.000 3.510 0.000
-0.038 0.000 7.027
Li Hg Pb
2 1 1
Cartesian
-0.008 0.000 1.925
3.291 0.000 5.102
1.641 1.755 3.514
1.660 1.755 0.000
```